(1)
DFT (GGA-PBE) results for crystalline ZnCd2Se at its relaxed geometry.

## Properties
Fermi-level density of states	0.7	states/eV per cell
calculated density	6.7	g cm⁻³
formation energy (no corrections)	-0.5	eV/f.u.
E above lowest polymorph	0	meV per atom

Unit cell a=7.6698 b=7.6698 c=7.6698 alpha=28.73 beta=28.73 gamma=28.73
Atoms (fractional coordinates):
Cd 0.0070 0.0070 0.0070
Cd 0.2440 0.2440 0.2440
Se 0.4877 0.4877 0.4877
Zn 0.7613 0.7613 0.7613

***

(2)
DFT (GGA-PBE) results for crystalline PrYHo3Tm at its relaxed geometry.

## Properties
E_form	212	meV per atom
Fermi-level density of states	21.0	states/eV per cell
calculated density	7.3	g cm⁻³

Unit cell a=5.3888 b=11.4957 c=6.7881 alpha=81.81 beta=90.00 gamma=103.56
Atoms (fractional coordinates):
Pr 0.3716 0.7431 0.9802
Pr 0.6284 0.2569 0.0198
Y 0.6683 0.3367 0.4677
Y 0.3317 0.6633 0.5323
Ho 0.8281 0.6562 0.2749
Ho 0.7734 0.5467 0.8175
Ho 0.4762 0.9525 0.2780
Ho 0.2266 0.4533 0.1825
Ho 0.5238 0.0475 0.7220
Ho 0.1719 0.3438 0.7251
Tm 0.0730 0.1460 0.3548
Tm 0.9270 0.8540 0.6452

***

(3)
DFT (GGA-PBE) results for crystalline SrMn2NiS4 at its relaxed geometry.

## Properties
Fermi-level density of states	5.0	states/eV per cell
calculated density	4.3	g cm⁻³
formation energy (no corrections)	-6.7	eV/f.u.

Unit cell a=3.7256 b=6.4999 c=12.6964 alpha=90.00 beta=90.00 gamma=106.65
Site moments in Bohr magnetons follow the coordinates.
Atoms (fractional coordinates):
Sr 0.1183 0.2366 0.7500  0.02
Sr 0.8817 0.7634 0.2500  0.02
Mn 0.3697 0.7394 0.5645  3.98
Mn 0.6303 0.2606 0.0645  3.98
Mn 0.6303 0.2606 0.4355  3.98
Mn 0.3697 0.7394 0.9355  3.98
Ni 0.8456 0.6912 0.7500  -0.45
Ni 0.1544 0.3088 0.2500  -0.45
S 0.2607 0.5215 0.1069  -0.01
S 0.7393 0.4785 0.6069  -0.01
S 0.7393 0.4785 0.8931  -0.01
S 0.2607 0.5215 0.3931  -0.01
S 0.0000 0.0000 0.5000  0.02
S 0.0000 0.0000 0.0000  0.02
S 0.4399 0.8798 0.7500  -0.04
S 0.5601 0.1202 0.2500  -0.04

***

(4)
DFT (GGA-PBE) results for crystalline LaZn2W at its relaxed geometry.

## Properties
E_form	373	meV per atom
Fermi-level density of states	3.4	states/eV per cell
calculated density	9.7	g cm⁻³
E above lowest polymorph	129	meV per atom

Unit cell a=5.1319 b=5.1319 c=5.2136 alpha=130.87 beta=130.91 gamma=70.73
Atoms (fractional coordinates):
La 0.7500 0.2500 0.5000
W 0.2500 0.7500 0.5000
Zn 0.0000 0.0000 0.0000
Zn 0.5000 0.5000 0.0000

***

(5)
DFT (GGA-PBE) results for crystalline KGa2Br at its relaxed geometry.

## Properties
Fermi-level density of states	4.9	states/eV per cell
calculated density	3.5	g cm⁻³
formation energy (no corrections)	0.3	eV/f.u.
E above lowest polymorph	487	meV per atom

Unit cell a=5.5783 b=5.5783 c=5.5783 alpha=60.00 beta=60.00 gamma=60.00
Atoms (fractional coordinates):
K 0.0000 0.0000 0.0000
Ga 0.2500 0.2500 0.2500
Ga 0.7500 0.7500 0.7500
Br 0.5000 0.5000 0.5000

***

(6)
DFT (GGA-PBE) results for crystalline YZnCoP2 at its relaxed geometry.

## Properties
E_form	245	meV per atom
Fermi-level density of states	5.2	states/eV per cell
calculated density	4.8	g cm⁻³

Unit cell a=4.6659 b=4.3573 c=4.6659 alpha=90.00 beta=90.00 gamma=90.00
Site moments in Bohr magnetons follow the coordinates.
Atoms (fractional coordinates):
Y 0.5000 0.5000 0.5000  -0.04
P 0.0000 0.0000 0.5000  0.03
P 0.5000 0.0000 0.0000  0.03
Zn 0.0000 0.0000 0.0000  -0.03
Co 0.0000 0.5000 0.0000  1.42